(1)
VASP calculation (GGA-PBE) on a geometry-optimized LiSm2Ga4Ir3 structure.

```
LiSm2Ga4Ir3
1.0
4.2901 0.0000 0.0000
0.0000 4.2901 0.0000
0.0000 0.0000 10.2061
Li Sm Ga Ir
1 2 4 3
direct
0.0000 0.0000 0.0000 Li
0.0000 0.5000 0.7467 Sm
0.5000 0.0000 0.2533 Sm
0.0000 0.0000 0.5000 Ga
0.0000 0.5000 0.1234 Ga
0.5000 0.0000 0.8766 Ga
0.5000 0.5000 0.5000 Ga
0.0000 0.5000 0.3654 Ir
0.5000 0.0000 0.6346 Ir
0.5000 0.5000 0.0000 Ir
```

## Properties
Space-group type: No. 115
Formation energy from the elements in kJ/mol of atoms: -61.2

(2)
VASP calculation (GGA-PBE) on a geometry-optimized Tb6Zn2Cd structure.

```
Tb6Zn2Cd
1.0
-2.4913 2.4913 10.8747
2.4913 -2.4913 10.8747
2.4913 2.4913 -10.8747
Tb Zn Cd
6 2 1
direct
0.0900 0.5900 0.5000 Tb
0.2500 0.7500 0.5000 Tb
0.4100 0.9100 0.5000 Tb
0.5900 0.0900 0.5000 Tb
0.7500 0.2500 0.5000 Tb
0.9100 0.4100 0.5000 Tb
0.1682 0.1682 0.0000 Zn
0.8318 0.8318 0.0000 Zn
0.5000 0.5000 0.0000 Cd
```

## Properties
Space-group type: No. 139
Formation energy from the elements in kJ/mol of atoms: 4.8